A plane-wave DFT calculation with PBEsol was carried out for an optimized crystal structure of LaMn2Cr.

Results
The density of states at the Fermi level is 5.44 states/eV/cell. The calculation puts the energy of formation from the pure elements at 0.372 eV per atom.

Lattice parameters (Å, degrees): 3.908 3.908 5.788 70.27 70.27 60.00
Element x y z (fractional)
Mn 0.741 0.741 0.778
Mn 0.063 0.063 0.812
Cr 0.445 0.445 0.665
La 0.249 0.249 0.252


A plane-wave DFT calculation with PBEsol was carried out for an optimized crystal structure of LaMn3Cr4O12.

Results
Its raw formation energy is -196.6 kJ/mol of atoms. The density of states at the Fermi level is 0.25 states/eV/cell.

Lattice parameters (Å, degrees): 6.374 6.374 6.374 109.47 109.47 109.47
Last column: magnetic moment on the atom in μB.
Element x y z (fractional)
O 0.692 0.515 0.823  0.04
O 0.823 0.308 0.132  0.04
O 0.308 0.132 0.823  0.04
O 0.132 0.823 0.308  0.04
O 0.823 0.692 0.515  0.04
O 0.515 0.823 0.692  0.04
O 0.868 0.177 0.692  0.04
O 0.485 0.177 0.308  0.04
O 0.177 0.308 0.485  0.04
O 0.177 0.692 0.868  0.04
O 0.308 0.485 0.177  0.04
O 0.692 0.868 0.177  0.04
Cr 0.500 0.000 0.000  2.72
Cr 0.000 0.500 0.000  2.72
Cr 0.500 0.500 0.500  2.72
Cr 0.000 0.000 0.500  2.72
Mn 0.500 0.500 0.000  3.77
Mn 0.000 0.500 0.500  3.77
Mn 0.500 0.000 0.500  3.77
La 0.000 0.000 0.000  0.08


A plane-wave DFT calculation with PBEsol was carried out for an optimized crystal structure of Sr3LaMnCrO8.

Results
Its raw formation energy is -256.4 kJ/mol of atoms. The density of states at the Fermi level is 5.61 states/eV/cell.

Lattice parameters (Å, degrees): 5.388 5.393 6.744 113.57 90.00 90.00
Last column: magnetic moment on the atom in μB.
Element x y z (fractional)
O 0.000 0.659 0.319  0.00
O 0.000 0.333 0.666  0.01
O 0.500 0.845 0.689  0.04
O 0.500 0.159 0.319  0.01
O 0.751 0.247 0.007  0.05
O 0.249 0.247 0.007  0.05
O 0.249 0.760 0.007  0.05
O 0.751 0.760 0.007  0.05
Cr 0.000 0.496 0.991  2.54
Sr 0.500 0.358 0.717  0.01
Sr 0.000 0.855 0.711  0.01
Sr 0.500 0.643 0.287  0.01
La 0.000 0.140 0.280  0.03
Mn 0.500 0.997 0.994  2.69